TbHoErZn after structural relaxation. Source: Alexandria, functional PBE.

Output
For the energy relative to the elements, the calculation gives -0.16 eV/atom. As for the density: 8.6 g/cm³. The space group is P4mm, No. 99. The density of states at the Fermi level comes out at 1.083 states/eV/atom. Its polymorph energy (0 for the lowest one) is 0 meV per atom. The electronic total energy is -15.70 eV for the cell shown. For the volume, the calculation gives 108 Å³/cell.

abc: 3.546 3.546 8.582
angles: 90.00 90.00 90.00
Fractional coordinates of all 4 atoms:
Tb1 0.000 0.000 0.000
Ho1 0.500 0.500 0.295
Er1 0.500 0.500 0.706
Zn1 0.000 0.000 0.502